# K3Mo2Br9, single point on PBEsol structure, DFT SCAN
data_K3Mo2Br9
_space_group_name_H-M_alt 'P 1'
_space_group_IT_number 1
_space_group_name_Hall 'P 1'
_cell_length_a 7.3690
_cell_length_b 7.3690
_cell_length_c 18.0174
_cell_angle_alpha 90.00
_cell_angle_beta 90.00
_cell_angle_gamma 120.00
loop_
_atom_site_label
_atom_site_type_symbol
_atom_site_fract_x
_atom_site_fract_y
_atom_site_fract_z
_atom_site_occupancy
K1 K 0.3333 0.6667 0.5556 1
K2 K 0.6667 0.3333 0.0556 1
K3 K 0.0000 0.0000 0.2500 1
K4 K 0.6667 0.3333 0.4444 1
K5 K 0.3333 0.6667 0.9444 1
K6 K 0.0000 0.0000 0.7500 1
Mo1 Mo 0.3333 0.6667 0.3274 1
Mo2 Mo 0.3333 0.6667 0.1726 1
Mo3 Mo 0.6667 0.3333 0.8274 1
Mo4 Mo 0.6667 0.3333 0.6726 1
Br1 Br 0.1219 0.7771 0.4084 1
Br2 Br 0.4521 0.0024 0.2500 1
Br3 Br 0.0024 0.5503 0.7500 1
Br4 Br 0.3449 0.1219 0.9084 1
Br5 Br 0.1219 0.7771 0.0916 1
Br6 Br 0.8781 0.2229 0.5916 1
Br7 Br 0.7771 0.6551 0.5916 1
Br8 Br 0.5479 0.9976 0.7500 1
Br9 Br 0.9976 0.4497 0.2500 1
Br10 Br 0.4497 0.4521 0.7500 1
Br11 Br 0.8781 0.2229 0.9084 1
Br12 Br 0.2229 0.3449 0.4084 1
Br13 Br 0.5503 0.5479 0.2500 1
Br14 Br 0.3449 0.1219 0.5916 1
Br15 Br 0.2229 0.3449 0.0916 1
Br16 Br 0.6551 0.8781 0.4084 1
Br17 Br 0.7771 0.6551 0.9084 1
Br18 Br 0.6551 0.8781 0.0916 1
# Uncorrected formation energy   -1.233 eV/atom
# E   -20.5114 eV/atom
# Symmetry   P6_3/m